No. 1
Entry from Alexandria via LeMat-Bulk: AcAsRhO6 after structural relaxation (PBE-GGA).

abc: 5.371 5.170 5.170
angles: 120.00 90.00 90.00
Element x y z (fractional)
Ac 0.000 0.333 0.667
As 0.500 0.000 0.000
O 0.300 0.719 0.033
O 0.700 0.967 0.281
Rh 0.500 0.667 0.333
O 0.300 0.967 0.686
O 0.300 0.314 0.281
O 0.700 0.314 0.033
O 0.700 0.719 0.686

Values from the calculation:
Formation energy (no corrections) (meV/atom): -1755.2
Spin magnetization (μB per cell): 1.05
SG: P312 (149)
D(E_F) (states/eV/atom): 0.631



No. 2
Entry from Alexandria via LeMat-Bulk: PaCo3Ge after structural relaxation (PBE-GGA).

abc: 5.141 7.925 5.927
angles: 131.95 115.70 90.00
Element x y z (fractional)
Ge 0.000 0.500 0.000
Co 0.804 0.304 0.108
Ge 0.500 0.000 0.000
Pa 0.750 0.741 0.500
Co 0.196 0.696 0.892
Co 0.250 0.962 0.500
Co 0.750 0.038 0.500
Co 0.696 0.696 0.892
Pa 0.250 0.259 0.500
Co 0.304 0.304 0.108

Values from the calculation:
Polymorph energy (0 for the lowest one) (meV/atom): 21
Spin magnetization (μB per cell): 1.35
SG: Imma (74)
D(E_F) (states/eV/atom): 0.981



No. 3
Entry from Alexandria via LeMat-Bulk: MnTl5I8 after structural relaxation (PBE-GGA).

abc: 9.281 9.281 9.281
angles: 112.19 104.16 112.19
Element x y z (fractional)
I 0.541 0.788 0.839
I 0.675 0.393 0.895
Tl 0.835 0.847 0.237
I 0.502 0.607 0.282
I 0.247 0.298 0.459
I 0.718 0.219 0.325
Tl 0.500 0.000 0.500
Tl 0.763 0.598 0.611
I 0.161 0.702 0.949
Mn 0.250 0.500 0.750
Tl 0.012 0.402 0.165
I 0.051 0.212 0.753
Tl 0.389 0.153 0.988
I 0.105 0.781 0.498

Values from the calculation:
Formation energy (no corrections) (meV/atom): -513.7
Spin magnetization (μB per cell): 3.98
SG: I-4 (82)



No. 4
Entry from Alexandria via LeMat-Bulk: Dy10ErTm4 after structural relaxation (PBE-GGA).

abc: 7.606 9.316 9.316
angles: 80.41 65.91 65.91
Element x y z (fractional)
Tm 0.400 0.800 0.400
Tm 0.800 0.600 0.800
Dy 0.750 0.500 0.500
Dy 0.050 0.101 0.300
Dy 0.451 0.899 0.700
Dy 0.549 0.101 0.300
Dy 0.151 0.300 0.899
Dy 0.350 0.700 0.101
Dy 0.849 0.700 0.101
Dy 0.250 0.500 0.500
Tm 0.200 0.400 0.200
Dy 0.650 0.300 0.899
Tm 0.600 0.200 0.600
Er 0.000 0.000 0.000
Dy 0.950 0.899 0.700

Values from the calculation:
DFT total energy (eV per atom): -3.8472
Spin magnetization (μB per cell): 0.00
SG: I4/m (87)
D(E_F) (states/eV/atom): 1.058



No. 5
Entry from Alexandria via LeMat-Bulk: Sm2InCl after structural relaxation (PBE-GGA).

abc: 3.676 3.676 9.428
angles: 78.76 78.76 60.00
Element x y z (fractional)
In 0.667 0.667 0.000
Sm 0.089 0.089 0.732
Cl 0.500 0.500 0.500
Sm 0.244 0.244 0.268

Values from the calculation:
Polymorph energy (0 for the lowest one) (meV/atom): 0
Formation energy (no corrections) (meV/atom): -866.6
Spin magnetization (μB per cell): 0.00
SG: R3m (160)
D(E_F) (states/eV/atom): 0.679



No. 6
Entry from Alexandria via LeMat-Bulk: SrIrRh2 after structural relaxation (PBE-GGA).

abc: 2.981 2.981 8.080
angles: 90.00 90.00 90.00
Element x y z (fractional)
Sr 0.000 0.000 0.498
Rh 0.000 0.000 0.999
Ir 0.500 0.500 0.798
Rh 0.500 0.500 0.205

Values from the calculation:
Polymorph energy (0 for the lowest one) (meV/atom): 362
Spin magnetization (μB per cell): 0.00
SG: P4mm (99)
D(E_F) (states/eV/atom): 0.918



No. 7
Entry from Alexandria via LeMat-Bulk: Hf2BPb after structural relaxation (PBE-GGA).

abc: 7.112 7.112 5.935
angles: 53.19 53.19 90.00
Element x y z (fractional)
Pb 0.750 0.250 0.500
Pb 0.000 0.000 0.000
B 0.250 0.750 0.500
Hf 0.875 0.806 0.750
B 0.500 0.500 0.000
Hf 0.194 0.625 0.250
Hf 0.556 0.125 0.250
Hf 0.375 0.444 0.750

Values from the calculation:
Polymorph energy (0 for the lowest one) (meV/atom): 594
Spin magnetization (μB per cell): 0.00
SG: I-42d (122)
D(E_F) (states/eV/atom): 0.382



No. 8
Entry from Alexandria via LeMat-Bulk: RbInFeMo2 after structural relaxation (PBE-GGA).

abc: 4.681 5.473 4.681
angles: 90.00 90.00 90.00
Element x y z (fractional)
Rb 0.000 0.000 0.000
Mo 0.000 0.000 0.500
Fe 0.500 0.500 0.500
Mo 0.500 0.000 0.000
In 0.000 0.500 0.000

Values from the calculation:
DFT total energy (eV per atom): -3.3137
Spin magnetization (μB per cell): 1.16
SG: P4/mmm (123)
D(E_F) (states/eV/atom): 1.769



No. 9
Entry from Alexandria via LeMat-Bulk: Dy2PdRu after structural relaxation (PBE-GGA).

abc: 3.445 3.445 6.939
angles: 90.00 90.00 90.00
Element x y z (fractional)
Dy 0.000 0.000 0.760
Pd 0.500 0.500 0.500
Ru 0.500 0.500 0.000
Dy 0.000 0.000 0.240

Values from the calculation:
DFT total energy (eV per atom): -6.5983
Spin magnetization (μB per cell): 0.00
SG: P4/mmm (123)
D(E_F) (states/eV/atom): 0.496



No. 10
Entry from Alexandria via LeMat-Bulk: SrLa3Ir after structural relaxation (PBE-GGA).

abc: 10.838 10.838 10.838
angles: 60.00 60.00 60.00
Element x y z (fractional)
Ir 0.625 0.125 0.625
La 0.566 0.934 0.934
La 0.934 0.566 0.566
La 0.934 0.566 0.934
La 0.934 0.934 0.566
Sr 0.125 0.125 0.125
La 0.316 0.684 0.316
La 0.566 0.934 0.566
Ir 0.625 0.625 0.625
La 0.566 0.566 0.934
La 0.316 0.316 0.684
Sr 0.125 0.625 0.125
La 0.684 0.316 0.684
Ir 0.625 0.625 0.125
La 0.684 0.316 0.316
Sr 0.625 0.125 0.125
Sr 0.125 0.125 0.625
Ir 0.125 0.625 0.625
La 0.684 0.684 0.316
La 0.316 0.684 0.684

Values from the calculation:
Polymorph energy (0 for the lowest one) (meV/atom): 176
Spin magnetization (μB per cell): 0.00
SG: Fd-3m (227)
D(E_F) (states/eV/atom): 1.381



No. 11
Entry from Alexandria via LeMat-Bulk: La2Pr12Tm after structural relaxation (PBE-GGA).

abc: 6.696 6.696 25.663
angles: 90.00 90.00 90.00
Element x y z (fractional)
Pr 0.832 0.668 0.438
Pr 0.500 0.500 0.787
Pr 0.812 0.312 0.111
Pr 0.500 0.500 0.337
La 0.000 0.500 0.736
Pr 0.332 0.168 0.562
La 0.500 0.000 0.264
La 0.500 0.000 0.736
Pr 0.688 0.188 0.889
Pr 0.312 0.812 0.889
Pr 0.168 0.668 0.562
Pr 0.188 0.312 0.889
Pr 0.000 0.000 0.213
Pr 0.168 0.332 0.438
Pr 0.688 0.812 0.111
Pr 0.812 0.688 0.889
Pr 0.500 0.500 0.213
Pr 0.000 0.000 0.337
Pr 0.832 0.332 0.562
Pr 0.668 0.168 0.438
Pr 0.188 0.688 0.111
Tm 0.500 0.000 0.000
La 0.000 0.500 0.264
Pr 0.332 0.832 0.438
Pr 0.312 0.188 0.111
Tm 0.000 0.500 0.000
Pr 0.668 0.832 0.562
Pr 0.500 0.500 0.663
Pr 0.000 0.000 0.787
Pr 0.000 0.000 0.663

Values from the calculation:
DFT total energy (eV per atom): -4.4809
Spin magnetization (μB per cell): 0.00
SG: P4/nbm (125)
D(E_F) (states/eV/atom): 1.460



No. 12
Entry from Alexandria via LeMat-Bulk: Pr3DyPb2S after structural relaxation (PBE-GGA).

abc: 5.117 5.299 9.190
angles: 106.76 106.16 90.00
Element x y z (fractional)
Pr 0.169 0.169 0.338
Pb 0.364 0.364 0.728
Pr 0.831 0.831 0.662
Pb 0.636 0.636 0.272
S 0.000 0.000 0.000
Pr 0.000 0.500 0.000
Dy 0.500 0.000 0.000

Values from the calculation:
Formation energy (no corrections) (meV/atom): -818.3
Spin magnetization (μB per cell): 0.00
SG: Immm (71)
D(E_F) (states/eV/atom): 0.651